# CsCa2U2O7 PBE relaxed
# Magnetic moment (μB/f.u.): 0.00
# Uncorrected energy (eV per atom): -8.1300
# Raw formation energy (eV/atom): -2.95
data_CsCa2U2O7
_chemical_formula_sum 'Cs2 Ca4 U4 O14'
_symmetry_space_group_name_H-M 'I 4/m m m'
_symmetry_Int_Tables_number 139
_symmetry_space_group_name_Hall '-I 4 2'
_cell_length_a 4.5157
_cell_length_b 4.5157
_cell_length_c 19.5522
_cell_angle_alpha 90.00
_cell_angle_beta 90.00
_cell_angle_gamma 90.00
loop_
_atom_site_label
_atom_site_fract_x
_atom_site_fract_y
_atom_site_fract_z
Cs1 0.0000 0.0000 0.0000
Ca1 0.0000 0.5000 0.2500
U1 0.0000 0.0000 0.3881
O1 0.0000 0.0000 0.2756
O2 0.0000 0.0000 0.5000
O3 0.0000 0.5000 0.1245

# Cs3CaU2O9 PBE relaxed
# Magnetic moment (μB/f.u.): 0.89
# Uncorrected energy (eV per atom): -7.3785
# Raw formation energy (eV/atom): -2.59
data_Cs3CaU2O9
_chemical_formula_sum 'Cs3 Ca1 U2 O9'
_symmetry_space_group_name_H-M 'P -3 m 1'
_symmetry_Int_Tables_number 164
_symmetry_space_group_name_Hall '-P 3 2"'
_cell_length_a 6.3170
_cell_length_b 6.3170
_cell_length_c 7.7252
_cell_angle_alpha 90.00
_cell_angle_beta 90.00
_cell_angle_gamma 120.00
loop_
_atom_site_label
_atom_site_fract_x
_atom_site_fract_y
_atom_site_fract_z
Cs1 0.0000 0.0000 0.0000
Cs2 0.3333 0.6667 0.6586
Ca1 0.0000 0.0000 0.5000
U1 0.3333 0.6667 0.1615
O1 0.0000 0.5000 0.0000
O2 0.1820 0.3639 0.3119

Look up the magnetic moment of the second one. 0.89 μB/f.u.

Number 2 is which compound? Cs3CaU2O9

Repeat the first record exactly.
# CsCa2U2O7 PBE relaxed
# Magnetic moment (μB/f.u.): 0.00
# Uncorrected energy (eV per atom): -8.1300
# Raw formation energy (eV/atom): -2.95
data_CsCa2U2O7
_chemical_formula_sum 'Cs2 Ca4 U4 O14'
_symmetry_space_group_name_H-M 'I 4/m m m'
_symmetry_Int_Tables_number 139
_symmetry_space_group_name_Hall '-I 4 2'
_cell_length_a 4.5157
_cell_length_b 4.5157
_cell_length_c 19.5522
_cell_angle_alpha 90.00
_cell_angle_beta 90.00
_cell_angle_gamma 90.00
loop_
_atom_site_label
_atom_site_fract_x
_atom_site_fract_y
_atom_site_fract_z
Cs1 0.0000 0.0000 0.0000
Ca1 0.0000 0.5000 0.2500
U1 0.0000 0.0000 0.3881
O1 0.0000 0.0000 0.2756
O2 0.0000 0.0000 0.5000
O3 0.0000 0.5000 0.1245